Record 1
First-principles (PBE) data for an optimized crystal structure of YNbTl2Co, as listed in the Alexandria database.

The space group is P4/mmm (No. 123) and the conventional cell measures 4.9687, 4.9687 and 4.6860 Å, with angles of 90.00, 90.00 and 90.00 degrees. The inequivalent atoms are Y at (0.0000, 0.0000, 0.0000), Nb at (0.5000, 0.5000, 0.0000), Tl at (0.0000, 0.5000, 0.5000) and Co at (0.5000, 0.5000, 0.5000).

Its calculated formation energy is 38 kJ per mole of atoms. As for the density of states at the Fermi level: 5.1 states/eV per cell. The value obtained for the theoretical density is 9.32 Mg/m³.

Record 2
First-principles (PBE) data for an optimized crystal structure of AcNd4Zn, as listed in the Alexandria database.

The space group is P4/mmm (No. 123) and the conventional cell measures 3.7513, 3.7513 and 14.2316 Å, with angles of 90.00, 90.00 and 90.00 degrees. The inequivalent atoms are Ac at (0.0000, 0.0000, 0.0000), Nd at (0.0000, 0.0000, 0.3744), Nd at (0.5000, 0.5000, 0.1921) and Zn at (0.5000, 0.5000, 0.5000).

Its calculated formation energy is -8 kJ per mole of atoms. As for the density of states at the Fermi level: 7.5 states/eV per cell. The value obtained for the theoretical density is 7.21 Mg/m³.

Record 3
First-principles (PBE) data for an optimized crystal structure of Sm2Sb4Au, as listed in the Alexandria database.

The space group is P-4m2 (No. 115) and the conventional cell measures 4.4607, 4.4607 and 9.7263 Å, with angles of 90.00, 90.00 and 90.00 degrees. The inequivalent atoms are Sm at (0.0000, 0.5000, 0.2440), Sb at (0.0000, 0.0000, 0.5000), Sb at (0.0000, 0.5000, 0.8369), Sb at (0.5000, 0.5000, 0.5000) and Au at (0.5000, 0.5000, 0.0000).

As for the density of states at the Fermi level: 3.1 states/eV per cell. The value obtained for the theoretical density is 8.45 Mg/m³. The calculation puts the final energy at -34.4 eV per cell.

Record 4
First-principles (PBE) data for an optimized crystal structure of YTc2Bi2, as listed in the Alexandria database.

The space group is I4/mmm (No. 139) and the conventional cell measures 5.0238, 5.0238 and 9.3969 Å, with angles of 90.00, 90.00 and 90.00 degrees. The inequivalent atoms are Y at (0.0000, 0.0000, 0.0000), Tc at (0.0000, 0.0000, 0.3802) and Bi at (0.0000, 0.5000, 0.2500).

Its calculated formation energy is 16 kJ per mole of atoms. As for the density of states at the Fermi level: 12.4 states/eV per cell. The value obtained for the energy above the most stable polymorph in this dataset is 0.00 eV/f.u. The value obtained for the theoretical density is 9.84 Mg/m³.

Record 5
First-principles (PBE) data for an optimized crystal structure of PaI5Br2, as listed in the Alexandria database.

The space group is Cmcm (No. 63) and the conventional cell measures 5.8681, 16.5847 and 16.5374 Å, with angles of 90.00, 90.00 and 90.00 degrees. The inequivalent atoms are Pa at (0.0000, 0.1915, 0.2500), I at (0.0000, 0.0841, 0.1113), I at (0.0000, 0.3266, 0.1265), I at (0.0000, 0.3795, 0.7500) and Br at (0.0000, 0.1845, 0.6329).

As for the density of states at the Fermi level: 12.9 states/eV per cell. The value obtained for the energy above the most stable polymorph in this dataset is 1.70 eV/f.u. The value obtained for the theoretical density is 4.23 Mg/m³.

Record 6
First-principles (PBE) data for an optimized crystal structure of Ho2ErSn2, as listed in the Alexandria database.

The space group is P4/mbm (No. 127) and the conventional cell measures 8.0069, 8.0069 and 4.3476 Å, with angles of 90.00, 90.00 and 90.00 degrees. The inequivalent atoms are Ho at (0.1692, 0.3308, 0.0000), Er at (0.0000, 0.0000, 0.5000) and Sn at (0.1333, 0.6333, 0.5000).

Its calculated formation energy is -63 kJ per mole of atoms. As for the density of states at the Fermi level: 8.7 states/eV per cell. The value obtained for the theoretical density is 8.75 Mg/m³.

Record 7
First-principles (PBE) data for an optimized crystal structure of Sc2HgS4, as listed in the Alexandria database.

The space group is Fd-3m (No. 227, origin choice 2) and the conventional cell measures 10.8522, 10.8522 and 10.8522 Å, with angles of 90.00, 90.00 and 90.00 degrees. The inequivalent atoms are Sc at (0.0000, 0.0000, 0.0000), Hg at (0.1250, 0.1250, 0.6250) and S at (0.0115, 0.0115, 0.2385).

As for the density of states at the Fermi level: 1.9 states/eV per cell. The value obtained for the theoretical density is 4.35 Mg/m³. The calculation puts the final energy at -314.9 eV per cell.

Record 8
First-principles (PBE) data for an optimized crystal structure of CdSi2Se, as listed in the Alexandria database.

The space group is Cmm2 (No. 35) and the conventional cell measures 3.4389, 4.2415 and 11.2076 Å, with angles of 90.00, 90.00 and 90.00 degrees. The inequivalent atoms are Cd at (0.0000, 0.0000, 0.0000), Si at (0.0000, 0.0000, 0.4436), Si at (0.0000, 0.5000, 0.2708) and Se at (0.0000, 0.5000, 0.7153).

As for the density of states at the Fermi level: 2.3 states/eV per cell. The value obtained for the energy above the most stable polymorph in this dataset is 1.60 eV/f.u. The value obtained for the theoretical density is 5.03 Mg/m³.

Record 9
First-principles (PBE) data for an optimized crystal structure of ScCr4Ag, as listed in the Alexandria database.

The space group is F-43m (No. 216) and the conventional cell measures 6.9955, 6.9955 and 6.9955 Å, with angles of 90.00, 90.00 and 90.00 degrees. The inequivalent atoms are Sc at (0.0000, 0.0000, 0.0000), Cr at (0.1263, 0.1263, 0.3737) and Ag at (0.2500, 0.2500, 0.7500).

Its calculated formation energy is 31 kJ per mole of atoms. As for the density of states at the Fermi level: 35.3 states/eV per cell. The value obtained for the theoretical density is 7.00 Mg/m³.

Record 10
First-principles (PBE) data for an optimized crystal structure of Nd2Ge3BiPt4, as listed in the Alexandria database.

The space group is P-4m2 (No. 115) and the conventional cell measures 4.3721, 4.3721 and 10.9335 Å, with angles of 90.00, 90.00 and 90.00 degrees. The inequivalent atoms are Nd at (0.0000, 0.5000, 0.2290), Ge at (0.0000, 0.5000, 0.8791), Ge at (0.5000, 0.5000, 0.5000), Bi at (0.0000, 0.0000, 0.5000), Pt at (0.0000, 0.0000, 0.0000), Pt at (0.0000, 0.5000, 0.6570) and Pt at (0.5000, 0.5000, 0.0000).

Its calculated formation energy is -78 kJ per mole of atoms. As for the density of states at the Fermi level: 5.2 states/eV per cell. The value obtained for the theoretical density is 11.88 Mg/m³.

Q: Which value of density of states at the Fermi level does entry 6 give?
A: 8.7 states/eV per cell